(1)
The following is a DFT calculation (PBE) of crystalline LiZr2Br at its relaxed geometry.

Output
The total magnetization is 0.0 Bohr magnetons per cell. Its space group is C2/m, No. 12. For the energy above the most stable polymorph in this dataset, the calculation gives 0.424 eV/atom.

Cell lengths 6.100, 6.100, 3.161 Å; angles 104.25, 104.25, 120.67 degrees
Positions (direct):
Li: 0.000 0.000 0.000
Zr: 0.000 0.500 0.000
Zr: 0.500 0.000 0.000
Br: 0.500 0.500 0.000

***

(2)
The following is a DFT calculation (PBE) of crystalline LaZn4Au at its relaxed geometry.

Output
The total magnetization is 0.0 Bohr magnetons per cell. Its space group is Cmcm, No. 63. Its formation energy is -0.33 eV per atom. For the energy above the most stable polymorph in this dataset, the calculation gives 0.000 eV/atom.

Cell lengths 8.238, 8.238, 6.699 Å; angles 90.00, 90.00, 148.48 degrees
Positions (direct):
La: 0.129 0.871 0.750
La: 0.871 0.129 0.250
Zn: 0.064 0.936 0.250
Zn: 0.334 0.666 0.561
Zn: 0.334 0.666 0.939
Zn: 0.500 0.500 0.000
Zn: 0.500 0.500 0.500
Zn: 0.666 0.334 0.061
Zn: 0.666 0.334 0.439
Zn: 0.936 0.064 0.750
Au: 0.228 0.772 0.250
Au: 0.772 0.228 0.750

***

(3)
The following is a DFT calculation (PBE) of crystalline Rb2InPH at its relaxed geometry.

Output
The total magnetization is 0.0 Bohr magnetons per cell. Its space group is P2_1/m, No. 11. As for the calculated total energy: -2.82 eV/atom.

Cell lengths 6.262, 5.129, 10.749 Å; angles 90.00, 90.34, 90.00 degrees
Positions (direct):
Rb: 0.250 0.250 0.036
Rb: 0.250 0.750 0.422
Rb: 0.750 0.250 0.578
Rb: 0.750 0.750 0.964
In: 0.249 0.750 0.762
In: 0.751 0.250 0.238
P: 0.251 0.250 0.706
P: 0.749 0.750 0.294
H: 0.246 0.750 0.947
H: 0.754 0.250 0.053

***

(4)
The following is a DFT calculation (PBE) of crystalline Li2HfUO6 at its relaxed geometry.

Output
The total magnetization is 0.0 Bohr magnetons per cell. Its space group is R3, No. 146. As for the calculated total energy: -8.43 eV/atom.

Cell lengths 5.738, 5.738, 5.738 Å; angles 55.64, 55.64, 55.64 degrees
Positions (direct):
Li: 0.000 0.000 0.000
Li: 0.494 0.494 0.494
Hf: 0.215 0.215 0.215
U: 0.714 0.714 0.714
O: 0.099 0.444 0.830
O: 0.329 0.947 0.599
O: 0.444 0.830 0.099
O: 0.599 0.329 0.947
O: 0.830 0.099 0.444
O: 0.947 0.599 0.329

***

(5)
The following is a DFT calculation (PBE) of crystalline PaCu2HgS4 at its relaxed geometry.

Output
The total magnetization is 0.0 Bohr magnetons per cell. Its space group is I222, No. 23. As for the calculated total energy: -4.87 eV/atom.

Cell lengths 5.840, 5.840, 5.840 Å; angles 112.45, 109.76, 106.26 degrees
Positions (direct):
Pa: 0.000 0.000 0.000
Cu: 0.189 0.689 0.500
Cu: 0.811 0.311 0.500
Hg: 0.500 0.500 0.000
S: 0.046 0.060 0.494
S: 0.433 0.940 0.985
S: 0.567 0.552 0.506
S: 0.954 0.448 0.015

***

(6)
The following is a DFT calculation (PBE) of crystalline SrLa at its relaxed geometry.

Output
The total magnetization is 16.7 Bohr magnetons per cell. Its space group is Pm-3n, No. 223. Its formation energy is 1.70 eV per atom. For the energy above the most stable polymorph in this dataset, the calculation gives 1.640 eV/atom.

Cell lengths 10.375, 10.375, 10.375 Å; angles 90.00, 90.00, 90.00 degrees
Positions (direct):
Sr: 0.000 0.250 0.500
Sr: 0.000 0.750 0.500
Sr: 0.250 0.500 0.000
Sr: 0.500 0.000 0.250
Sr: 0.500 0.000 0.750
Sr: 0.750 0.500 0.000
La: 0.000 0.500 0.250
La: 0.000 0.500 0.750
La: 0.250 0.000 0.500
La: 0.500 0.250 0.000
La: 0.500 0.750 0.000
La: 0.750 0.000 0.500

***

(7)
The following is a DFT calculation (PBE) of crystalline InAg2P at its relaxed geometry.

Output
The total magnetization is 0.0 Bohr magnetons per cell. Its space group is Cmmm, No. 65. Its formation energy is 0.24 eV per atom. For the energy above the most stable polymorph in this dataset, the calculation gives 0.083 eV/atom.

Cell lengths 5.188, 5.188, 3.000 Å; angles 90.00, 90.00, 110.34 degrees
Positions (direct):
In: 0.000 0.000 0.000
Ag: 0.000 0.500 0.500
Ag: 0.500 0.000 0.500
P: 0.500 0.500 0.000

***

(8)
The following is a DFT calculation (PBE) of crystalline SeSO2 at its relaxed geometry.

Output
The total magnetization is 0.0 Bohr magnetons per cell. Its space group is R-3m, No. 166. For the energy above the most stable polymorph in this dataset, the calculation gives 0.240 eV/atom.

Cell lengths 6.401, 6.401, 6.401 Å; angles 29.34, 29.34, 29.34 degrees
Positions (direct):
Se: 0.000 0.000 0.000
S: 0.500 0.500 0.500
O: 0.114 0.114 0.114
O: 0.886 0.886 0.886

***

(9)
The following is a DFT calculation (PBE) of crystalline LiMgTaSb2 at its relaxed geometry.

Output
The total magnetization is 0.0 Bohr magnetons per cell. Its space group is P4/mmm, No. 123. As for the calculated total energy: -4.41 eV/atom.

Cell lengths 5.351, 5.351, 5.418 Å; angles 90.00, 90.00, 90.00 degrees
Positions (direct):
Li: 0.000 0.000 0.000
Mg: 0.500 0.500 0.000
Ta: 0.500 0.500 0.500
Sb: 0.000 0.500 0.500
Sb: 0.500 0.000 0.500

***

(10)
The following is a DFT calculation (PBE) of crystalline K3ReSi at its relaxed geometry.

Output
The total magnetization is 6.0 Bohr magnetons per cell. Its space group is Pm-3m, No. 221. For the energy above the most stable polymorph in this dataset, the calculation gives 0.000 eV/atom.

Cell lengths 6.397, 6.397, 6.397 Å; angles 90.00, 90.00, 90.00 degrees
Positions (direct):
K: 0.000 0.000 0.500
K: 0.000 0.500 0.000
K: 0.500 0.000 0.000
Re: 0.500 0.500 0.500
Si: 0.000 0.000 0.000

***

(11)
The following is a DFT calculation (PBE) of crystalline K2OsNCl5 at its relaxed geometry.

Output
The total magnetization is 0.0 Bohr magnetons per cell. Its space group is Cmc2_1, No. 36. For the energy above the most stable polymorph in this dataset, the calculation gives 0.042 eV/atom.

Cell lengths 11.714, 11.714, 7.827 Å; angles 90.00, 90.00, 144.29 degrees
Positions (direct):
K: 0.047 0.953 0.500
K: 0.309 0.691 0.218
K: 0.691 0.309 0.718
K: 0.953 0.047 0.000
Os: 0.126 0.874 0.965
Os: 0.874 0.126 0.465
N: 0.088 0.912 0.149
N: 0.912 0.088 0.649
Cl: 0.028 0.424 0.534
Cl: 0.173 0.827 0.661
Cl: 0.176 0.302 0.339
Cl: 0.302 0.176 0.839
Cl: 0.424 0.028 0.034
Cl: 0.576 0.972 0.534
Cl: 0.698 0.824 0.339
Cl: 0.824 0.698 0.839
Cl: 0.827 0.173 0.161
Cl: 0.972 0.576 0.034

***

(12)
The following is a DFT calculation (PBE) of crystalline U2HAu at its relaxed geometry.

Output
The total magnetization is 1.0 Bohr magnetons per cell. Its space group is R-3m, No. 166. As for the calculated total energy: -7.10 eV/atom.

Cell lengths 9.475, 9.475, 9.475 Å; angles 17.59, 17.59, 17.59 degrees
Positions (direct):
U: 0.110 0.110 0.110
U: 0.890 0.890 0.890
H: 0.500 0.500 0.500
Au: 0.000 0.000 0.000

***

(13)
The following is a DFT calculation (PBE) of crystalline Nd3Cu2Ag at its relaxed geometry.

Output
The total magnetization is 0.0 Bohr magnetons per cell. Its space group is P-3m1, No. 164. Its formation energy is -0.17 eV per atom. For the energy above the most stable polymorph in this dataset, the calculation gives 0.012 eV/atom.

Cell lengths 5.181, 5.181, 12.602 Å; angles 90.00, 90.00, 120.00 degrees
Positions (direct):
Nd: 0.000 0.000 0.242
Nd: 0.000 0.000 0.758
Nd: 0.333 0.667 0.416
Nd: 0.333 0.667 0.925
Nd: 0.667 0.333 0.075
Nd: 0.667 0.333 0.584
Cu: 0.000 0.000 0.000
Cu: 0.000 0.000 0.500
Cu: 0.333 0.667 0.169
Cu: 0.667 0.333 0.831
Ag: 0.333 0.667 0.671
Ag: 0.667 0.333 0.329

***

(14)
The following is a DFT calculation (PBE) of crystalline ReTeWI at its relaxed geometry.

Output
The total magnetization is 0.0 Bohr magnetons per cell. Its space group is R3m, No. 160. For the energy above the most stable polymorph in this dataset, the calculation gives 0.170 eV/atom.

Cell lengths 10.441, 10.441, 10.441 Å; angles 18.95, 18.95, 18.95 degrees
Positions (direct):
Re: 0.000 0.000 0.000
Te: 0.088 0.088 0.088
W: 0.284 0.284 0.284
I: 0.880 0.880 0.880

***

(15)
The following is a DFT calculation (PBE) of crystalline ReTcIr at its relaxed geometry.

Output
The total magnetization is 0.0 Bohr magnetons per cell. Its space group is Fdd2, No. 43. Its formation energy is 0.35 eV per atom. For the energy above the most stable polymorph in this dataset, the calculation gives 0.559 eV/atom.

Cell lengths 6.529, 6.037, 6.774 Å; angles 60.95, 53.94, 65.10 degrees
Positions (direct):
Re: 0.087 0.913 0.306
Re: 0.556 0.944 0.337
Re: 0.913 0.087 0.694
Re: 0.944 0.556 0.163
Tc: 0.243 0.404 0.365
Tc: 0.262 0.885 0.846
Tc: 0.404 0.243 0.988
Tc: 0.885 0.262 0.007
Ir: 0.217 0.617 0.663
Ir: 0.587 0.746 0.033
Ir: 0.617 0.217 0.504
Ir: 0.746 0.587 0.633

***

(16)
The following is a DFT calculation (PBE) of crystalline La8SiP3Br4 at its relaxed geometry.

Output
The total magnetization is 0.0 Bohr magnetons per cell. Its space group is R-3m, No. 166. As for the calculated total energy: -5.73 eV/atom.

Cell lengths 8.905, 8.905, 8.905 Å; angles 57.47, 57.47, 57.47 degrees
Positions (direct):
La: 0.232 0.739 0.739
La: 0.235 0.235 0.235
La: 0.261 0.261 0.768
La: 0.261 0.768 0.261
La: 0.739 0.232 0.739
La: 0.739 0.739 0.232
La: 0.765 0.765 0.765
La: 0.768 0.261 0.261
Si: 0.500 0.500 0.500
P: 0.000 0.000 0.500
P: 0.000 0.500 0.000
P: 0.500 0.000 0.000
Br: 0.000 0.000 0.000
Br: 0.000 0.500 0.500
Br: 0.500 0.000 0.500
Br: 0.500 0.500 0.000

***

(17)
The following is a DFT calculation (PBE) of crystalline CaHf2CdCl at its relaxed geometry.

Output
The total magnetization is 0.0 Bohr magnetons per cell. Its space group is P4/mmm, No. 123. As for the calculated total energy: -3.97 eV/atom.

Cell lengths 5.311, 5.311, 5.918 Å; angles 90.00, 90.00, 90.00 degrees
Positions (direct):
Ca: 0.000 0.000 0.000
Hf: 0.000 0.500 0.500
Hf: 0.500 0.000 0.500
Cd: 0.500 0.500 0.500
Cl: 0.500 0.500 0.000

***

(18)
The following is a DFT calculation (PBE) of crystalline TeMoPbN2 at its relaxed geometry.

Output
The total magnetization is 1.8 Bohr magnetons per cell. Its space group is P4/mmm, No. 123. For the energy above the most stable polymorph in this dataset, the calculation gives 1.492 eV/atom.

Cell lengths 4.354, 4.354, 5.792 Å; angles 90.00, 90.00, 90.00 degrees
Positions (direct):
Te: 0.000 0.000 0.000
Mo: 0.500 0.500 0.000
Pb: 0.000 0.000 0.500
N: 0.000 0.500 0.500
N: 0.500 0.000 0.500

***

(19)
The following is a DFT calculation (PBE) of crystalline YMg2 at its relaxed geometry.

Output
The total magnetization is 0.0 Bohr magnetons per cell. Its space group is P-62m, No. 189. Its formation energy is 0.07 eV per atom.

Cell lengths 9.282, 9.282, 3.189 Å; angles 90.00, 90.00, 120.00 degrees
Positions (direct):
Y: 0.000 0.000 0.000
Y: 0.333 0.667 0.500
Y: 0.667 0.333 0.500
Mg: 0.000 0.312 0.500
Mg: 0.000 0.641 0.000
Mg: 0.312 0.000 0.500
Mg: 0.359 0.359 0.000
Mg: 0.641 0.000 0.000
Mg: 0.688 0.688 0.500

***

(20)
The following is a DFT calculation (PBE) of crystalline SrAcPrTm at its relaxed geometry.

Output
The total magnetization is 0.0 Bohr magnetons per cell. Its space group is F-43m, No. 216. Its formation energy is 0.18 eV per atom.

Cell lengths 6.087, 6.087, 6.087 Å; angles 60.00, 60.00, 60.00 degrees
Positions (direct):
Sr: 0.000 0.000 0.000
Ac: 0.750 0.750 0.750
Pr: 0.250 0.250 0.250
Tm: 0.500 0.500 0.500

***

(21)
The following is a DFT calculation (PBE) of crystalline ZrAlZnNi at its relaxed geometry.

Output
The total magnetization is 0.0 Bohr magnetons per cell. Its space group is F-43m, No. 216. Its formation energy is -0.43 eV per atom.

Cell lengths 4.434, 4.434, 4.434 Å; angles 60.00, 60.00, 60.00 degrees
Positions (direct):
Zr: 0.000 0.000 0.000
Al: 0.500 0.500 0.500
Zn: 0.750 0.750 0.750
Ni: 0.250 0.250 0.250

***

(22)
The following is a DFT calculation (PBE) of crystalline SrZn2Br6 at its relaxed geometry.

Output
The total magnetization is 0.0 Bohr magnetons per cell. Its space group is C2/c, No. 15. For the energy above the most stable polymorph in this dataset, the calculation gives 0.000 eV/atom.

Cell lengths 9.493, 9.493, 7.212 Å; angles 99.27, 99.27, 86.16 degrees
Positions (direct):
Sr: 0.124 0.876 0.750
Sr: 0.876 0.124 0.250
Zn: 0.230 0.378 0.718
Zn: 0.378 0.230 0.218
Zn: 0.622 0.770 0.782
Zn: 0.770 0.622 0.282
Br: 0.047 0.193 0.654
Br: 0.140 0.594 0.893
Br: 0.193 0.047 0.154
Br: 0.280 0.436 0.416
Br: 0.406 0.860 0.607
Br: 0.436 0.280 0.916
Br: 0.564 0.720 0.084
Br: 0.594 0.140 0.393
Br: 0.720 0.564 0.584
Br: 0.807 0.953 0.846
Br: 0.860 0.406 0.107
Br: 0.953 0.807 0.346

***

(23)
The following is a DFT calculation (PBE) of crystalline PuThP2Ir2 at its relaxed geometry.

Output
The total magnetization is 4.8 Bohr magnetons per cell. Its space group is P-3m1, No. 164. Its formation energy is -1.08 eV per atom.

Cell lengths 4.117, 4.117, 7.942 Å; angles 90.00, 90.00, 120.00 degrees
Positions (direct):
Pu: 0.000 0.000 0.000
Th: 0.000 0.000 0.500
P: 0.333 0.667 0.776
P: 0.667 0.333 0.224
Ir: 0.333 0.667 0.259
Ir: 0.667 0.333 0.741

***

(24)
The following is a DFT calculation (PBE) of crystalline TeOsAu at its relaxed geometry.

Output
The total magnetization is 0.1 Bohr magnetons per cell. Its space group is Fmm2, No. 42. For the energy above the most stable polymorph in this dataset, the calculation gives 0.299 eV/atom.

Cell lengths 8.079, 7.795, 3.023 Å; angles 84.37, 73.77, 21.86 degrees
Positions (direct):
Te: 0.000 0.000 0.000
Os: 0.640 0.640 0.360
Au: 0.294 0.294 0.706